1.
{"formula": "MnCdSiAu2", "functional": "GGA-PBE", "state": "relaxed", "e_form_raw_ev_per_atom": 1.041, "magmom_total_mub_per_fu": 4.731, "spacegroup": "No. 123", "lattice": [[5.1497, 0.0000, 0.0000], [0.0000, 5.1497, 0.0000], [0.0000, 0.0000, 4.8379]], "species": ["Mn", "Cd", "Si", "Au", "Au"], "fractional_positions": [[0.0000, 0.0000, 0.0000], [0.5000, 0.5000, 0.5000], [0.5000, 0.5000, 0.0000], [0.0000, 0.5000, 0.5000], [0.5000, 0.0000, 0.5000]]}

2.
{"formula": "Pr6YTh", "functional": "GGA-PBE", "state": "relaxed", "final_energy_ev_per_fu": -41.1, "magmom_total_mub_per_fu": 0.000, "spacegroup": "No. 12", "lattice": [[6.8551, 0.0000, 0.0000], [0.0000, 12.0431, 0.0000], [-0.2858, 0.0000, 6.7520]], "species": ["Pr", "Pr", "Pr", "Pr", "Pr", "Pr", "Pr", "Pr", "Pr", "Pr", "Pr", "Pr", "Y", "Y", "Th", "Th"], "fractional_positions": [[0.0418, 0.0000, 0.2417], [0.1803, 0.2393, 0.7473], [0.1803, 0.7607, 0.7473], [0.3197, 0.2607, 0.2527], [0.3197, 0.7393, 0.2527], [0.4582, 0.5000, 0.7583], [0.5418, 0.5000, 0.2417], [0.6803, 0.2607, 0.7473], [0.6803, 0.7393, 0.7473], [0.8197, 0.2393, 0.2527], [0.8197, 0.7607, 0.2527], [0.9582, 0.0000, 0.7583], [0.0000, 0.5000, 0.5000], [0.5000, 0.0000, 0.5000], [0.0000, 0.5000, 0.0000], [0.5000, 0.0000, 0.0000]]}

3.
{"formula": "In3Hg4Pb", "functional": "GGA-PBE", "state": "relaxed", "final_energy_ev_per_fu": -12.6, "magmom_total_mub_per_fu": 0.000, "spacegroup": "No. 12", "lattice": [[23.3845, 0.0000, 0.0000], [0.0000, 4.1191, 0.0000], [-0.3674, 0.0000, 4.8834]], "species": ["In", "In", "In", "In", "In", "In", "Hg", "Hg", "Hg", "Hg", "Hg", "Hg", "Hg", "Hg", "Pb", "Pb"], "fractional_positions": [[0.0000, 0.0000, 0.0000], [0.1972, 0.0000, 0.0679], [0.3028, 0.5000, 0.9321], [0.5000, 0.5000, 0.0000], [0.6972, 0.5000, 0.0679], [0.8028, 0.0000, 0.9321], [0.0982, 0.5000, 0.0298], [0.1844, 0.5000, 0.5549], [0.3156, 0.0000, 0.4451], [0.4018, 0.0000, 0.9702], [0.5982, 0.0000, 0.0298], [0.6844, 0.0000, 0.5549], [0.8156, 0.5000, 0.4451], [0.9018, 0.5000, 0.9702], [0.0000, 0.5000, 0.5000], [0.5000, 0.0000, 0.5000]]}

4.
{"formula": "CdAsPdSe2", "functional": "GGA-PBE", "state": "relaxed", "e_form_raw_ev_per_atom": 0.961, "magmom_total_mub_per_fu": 0.000, "spacegroup": "No. 123", "lattice": [[5.1852, 0.0000, 0.0000], [0.0000, 5.1852, 0.0000], [0.0000, 0.0000, 5.0973]], "species": ["Cd", "As", "Pd", "Se", "Se"], "fractional_positions": [[0.0000, 0.0000, 0.0000], [0.0000, 0.0000, 0.5000], [0.5000, 0.5000, 0.5000], [0.0000, 0.5000, 0.0000], [0.5000, 0.0000, 0.0000]]}

5.
{"formula": "BaNiSe", "functional": "GGA-PBE", "state": "relaxed", "e_form_raw_ev_per_atom": -1.016, "magmom_total_mub_per_fu": 0.000, "spacegroup": "No. 63", "lattice": [[4.7068, 0.0000, 0.0000], [0.0000, 14.2696, 0.0000], [0.0000, 0.0000, 5.0129]], "species": ["Ba", "Ba", "Ba", "Ba", "Ni", "Ni", "Ni", "Ni", "Se", "Se", "Se", "Se"], "fractional_positions": [[0.0000, 0.1322, 0.2500], [0.0000, 0.8678, 0.7500], [0.5000, 0.3678, 0.7500], [0.5000, 0.6322, 0.2500], [0.0000, 0.5000, 0.0000], [0.0000, 0.5000, 0.5000], [0.5000, 0.0000, 0.0000], [0.5000, 0.0000, 0.5000], [0.0000, 0.3648, 0.2500], [0.0000, 0.6352, 0.7500], [0.5000, 0.1352, 0.7500], [0.5000, 0.8648, 0.2500]]}

6.
{"formula": "ScBeBi2Ru", "functional": "GGA-PBE", "state": "relaxed", "final_energy_ev_per_fu": -24.0, "magmom_total_mub_per_fu": 0.000, "spacegroup": "No. 123", "lattice": [[5.2488, 0.0000, 0.0000], [0.0000, 5.2488, 0.0000], [0.0000, 0.0000, 4.8454]], "species": ["Sc", "Be", "Bi", "Bi", "Ru"], "fractional_positions": [[0.0000, 0.0000, 0.0000], [0.5000, 0.5000, 0.0000], [0.0000, 0.5000, 0.5000], [0.5000, 0.0000, 0.5000], [0.0000, 0.0000, 0.5000]]}

7.
{"formula": "ScAg2Pb", "functional": "GGA-PBE", "state": "relaxed", "final_energy_ev_per_fu": -16.3, "magmom_total_mub_per_fu": 0.000, "spacegroup": "No. 12", "lattice": [[10.1315, 0.0000, 0.0000], [0.0000, 3.3643, 0.0000], [-0.9347, 0.0000, 5.0800]], "species": ["Sc", "Sc", "Ag", "Ag", "Ag", "Ag", "Pb", "Pb"], "fractional_positions": [[0.0000, 0.0000, 0.0000], [0.5000, 0.5000, 0.0000], [0.2430, 0.5000, 0.2270], [0.2570, 0.0000, 0.7730], [0.7430, 0.0000, 0.2270], [0.7570, 0.5000, 0.7730], [0.0000, 0.5000, 0.5000], [0.5000, 0.0000, 0.5000]]}

8.
{"formula": "Be2Cd", "functional": "GGA-PBE", "state": "relaxed", "final_energy_ev_per_fu": -6.6, "magmom_total_mub_per_fu": 0.000, "spacegroup": "No. 141", "lattice": [[3.7808, 0.0000, 0.0000], [0.0000, 3.7808, 0.0000], [0.0000, 0.0000, 11.8500]], "species": ["Be", "Be", "Be", "Be", "Be", "Be", "Be", "Be", "Cd", "Cd", "Cd", "Cd"], "fractional_positions": [[0.0000, 0.2500, 0.2851], [0.0000, 0.2500, 0.4649], [0.0000, 0.7500, 0.5351], [0.0000, 0.7500, 0.7149], [0.5000, 0.2500, 0.0351], [0.5000, 0.2500, 0.2149], [0.5000, 0.7500, 0.7851], [0.5000, 0.7500, 0.9649], [0.0000, 0.2500, 0.8750], [0.0000, 0.7500, 0.1250], [0.5000, 0.2500, 0.6250], [0.5000, 0.7500, 0.3750]]}

9.
{"formula": "YCu2Pd6", "functional": "GGA-PBE", "state": "relaxed", "final_energy_ev_per_fu": -46.9, "magmom_total_mub_per_fu": 0.000, "spacegroup": "No. 162", "lattice": [[4.7045, 0.0000, 0.0000], [-2.3523, 4.0742, 0.0000], [0.0000, 0.0000, 8.8511]], "species": ["Y", "Cu", "Cu", "Pd", "Pd", "Pd", "Pd", "Pd", "Pd"], "fractional_positions": [[0.0000, 0.0000, 0.0000], [0.3333, 0.6667, 0.5000], [0.6667, 0.3333, 0.5000], [0.0000, 0.3374, 0.7381], [0.0000, 0.6626, 0.2619], [0.3374, 0.0000, 0.7381], [0.3374, 0.3374, 0.2619], [0.6626, 0.0000, 0.2619], [0.6626, 0.6626, 0.7381]]}

10.
{"formula": "ReIr2I", "functional": "GGA-PBE", "state": "relaxed", "e_form_raw_ev_per_atom": 0.936, "magmom_total_mub_per_fu": 0.000, "spacegroup": "No. 122", "lattice": [[6.3442, 0.0000, 0.0000], [0.0000, 6.3442, 0.0000], [0.0000, 0.0000, 9.5477]], "species": ["Re", "Re", "Re", "Re", "Ir", "Ir", "Ir", "Ir", "Ir", "Ir", "Ir", "Ir", "I", "I", "I", "I"], "fractional_positions": [[0.0000, 0.0000, 0.0000], [0.0000, 0.5000, 0.2500], [0.5000, 0.0000, 0.7500], [0.5000, 0.5000, 0.5000], [0.2104, 0.2500, 0.1250], [0.2500, 0.7104, 0.3750], [0.2500, 0.7896, 0.8750], [0.2896, 0.2500, 0.6250], [0.7104, 0.7500, 0.6250], [0.7500, 0.2104, 0.8750], [0.7500, 0.2896, 0.3750], [0.7896, 0.7500, 0.1250], [0.0000, 0.0000, 0.5000], [0.0000, 0.5000, 0.7500], [0.5000, 0.0000, 0.2500], [0.5000, 0.5000, 0.0000]]}

11.
{"formula": "AcTbEuGd", "functional": "GGA-PBE", "state": "relaxed", "final_energy_ev_per_fu": -32.5, "magmom_total_mub_per_fu": 0.856, "spacegroup": "No. 216", "lattice": [[8.4207, 0.0000, 0.0000], [0.0000, 8.4207, 0.0000], [0.0000, 0.0000, 8.4207]], "species": ["Ac", "Ac", "Ac", "Ac", "Tb", "Tb", "Tb", "Tb", "Eu", "Eu", "Eu", "Eu", "Gd", "Gd", "Gd", "Gd"], "fractional_positions": [[0.0000, 0.0000, 0.0000], [0.0000, 0.5000, 0.5000], [0.5000, 0.0000, 0.5000], [0.5000, 0.5000, 0.0000], [0.0000, 0.0000, 0.5000], [0.0000, 0.5000, 0.0000], [0.5000, 0.0000, 0.0000], [0.5000, 0.5000, 0.5000], [0.2500, 0.2500, 0.2500], [0.2500, 0.7500, 0.7500], [0.7500, 0.2500, 0.7500], [0.7500, 0.7500, 0.2500], [0.2500, 0.2500, 0.7500], [0.2500, 0.7500, 0.2500], [0.7500, 0.2500, 0.2500], [0.7500, 0.7500, 0.7500]]}

12.
{"formula": "CoReNi2H", "functional": "GGA-PBE", "state": "relaxed", "final_energy_ev_per_fu": -33.5, "magmom_total_mub_per_fu": 1.417, "spacegroup": "No. 123", "lattice": [[3.5803, 0.0000, 0.0000], [0.0000, 3.5803, 0.0000], [0.0000, 0.0000, 3.8869]], "species": ["Co", "Re", "Ni", "Ni", "H"], "fractional_positions": [[0.0000, 0.0000, 0.0000], [0.5000, 0.5000, 0.0000], [0.0000, 0.5000, 0.5000], [0.5000, 0.0000, 0.5000], [0.5000, 0.5000, 0.5000]]}